# 1
Below is a relaxed structure of CaNd6Ho2Er, with properties calculated at the PBE-GGA level.

Unit cell a=9.0089 b=9.0089 c=9.8868 alpha=94.50 beta=94.50 gamma=118.52
With the nearest neighbours (Å) after each atom.
Atoms (fractional coordinates):
Ca: 0.0987 0.9013 0.7500  6 Nd 3.57-3.67, 2 Ho 3.67
Ca: 0.9013 0.0987 0.2500  6 Nd 3.57-3.67, 2 Ho 3.67
Nd: 0.0009 0.2109 0.6233  3 Nd 3.27-3.43, 3 Ho 3.31-3.48, 1 Ca 3.58
Nd: 0.0692 0.5277 0.1773  4 Nd 3.27-3.67, 1 Ho 3.52, 1 Ca 3.57, 1 Er 3.66
Nd: 0.2109 0.0009 0.1233  3 Nd 3.27-3.43, 3 Ho 3.31-3.48, 1 Ca 3.58
Nd: 0.2644 0.6137 0.5523  5 Nd 3.43-3.83, 1 Ho 3.44, 1 Er 3.67
Nd: 0.3863 0.7356 0.9477  5 Nd 3.43-3.83, 1 Ho 3.44, 1 Er 3.67
Nd: 0.4723 0.9308 0.3227  4 Nd 3.27-3.67, 1 Ho 3.52, 1 Ca 3.57, 1 Er 3.66
Nd: 0.5277 0.0692 0.6773  4 Nd 3.27-3.67, 1 Ho 3.52, 1 Ca 3.57, 1 Er 3.66
Nd: 0.6137 0.2644 0.0523  5 Nd 3.43-3.83, 1 Ho 3.44, 1 Er 3.67
Nd: 0.7356 0.3863 0.4477  5 Nd 3.43-3.83, 1 Ho 3.44, 1 Er 3.67
Nd: 0.7891 0.9991 0.8767  3 Nd 3.27-3.43, 3 Ho 3.31-3.48, 1 Ca 3.58
Nd: 0.9308 0.4723 0.8227  4 Nd 3.27-3.67, 1 Ho 3.52, 1 Ca 3.57, 1 Er 3.66
Nd: 0.9991 0.7891 0.3767  3 Nd 3.27-3.43, 3 Ho 3.31-3.48, 1 Ca 3.58
Ho: 0.2041 0.3032 0.9567  6 Nd 3.31-3.68, 2 Er 3.42-3.48, 1 Ca 3.67
Ho: 0.3032 0.2041 0.4567  6 Nd 3.31-3.68, 2 Er 3.42-3.48, 1 Ca 3.67
Ho: 0.6968 0.7959 0.5433  6 Nd 3.31-3.68, 2 Er 3.42-3.48, 1 Ca 3.67
Ho: 0.7959 0.6968 0.0433  6 Nd 3.31-3.68, 2 Er 3.42-3.48, 1 Ca 3.67
Er: 0.4735 0.5265 0.2500  4 Ho 3.42-3.48, 4 Nd 3.66-3.67
Er: 0.5265 0.4735 0.7500  4 Ho 3.42-3.48, 4 Nd 3.66-3.67

* total magnetization: 0.00 μB/cell
* formation enthalpy at 0 K: 0.134 eV/atom
* volume: 697 Å³ per cell
* SG: C2/c, No. 15
* raw total energy: -86.0 eV/cell

# 2
Below is a relaxed structure of CaPr6Ho2Er, with properties calculated at the PBE-GGA level.

Unit cell a=9.0569 b=9.0569 c=9.7944 alpha=93.36 beta=93.36 gamma=117.52
With the nearest neighbours (Å) after each atom.
Atoms (fractional coordinates):
Ca: 0.0266 0.9734 0.7500  4 Ho 3.50-3.56, 4 Pr 3.75-3.82
Ca: 0.9734 0.0266 0.2500  4 Ho 3.50-3.56, 4 Pr 3.75-3.82
Pr: 0.0124 0.5553 0.6831  3 Pr 3.32-3.63, 2 Ho 3.52-3.64, 1 Er 3.53
Pr: 0.1258 0.7540 0.0539  7 Pr 3.53-3.88, 1 Ho 3.60, 2 Ca 3.82-3.96
Pr: 0.2460 0.8742 0.4461  7 Pr 3.53-3.88, 1 Ho 3.60, 2 Ca 3.82-3.96
Pr: 0.2924 0.5035 0.8814  3 Ho 3.31-3.50, 4 Pr 3.32-3.65, 2 Er 3.48-3.64
Pr: 0.4447 0.9876 0.8169  3 Pr 3.32-3.63, 2 Ho 3.52-3.64, 1 Er 3.53
Pr: 0.4965 0.7076 0.6186  3 Ho 3.31-3.50, 4 Pr 3.32-3.65, 2 Er 3.48-3.64
Pr: 0.5035 0.2924 0.3814  3 Ho 3.31-3.50, 4 Pr 3.32-3.65, 2 Er 3.48-3.64
Pr: 0.5553 0.0124 0.1831  3 Pr 3.32-3.63, 2 Ho 3.52-3.64, 1 Er 3.53
Pr: 0.7076 0.4965 0.1186  3 Ho 3.31-3.50, 4 Pr 3.32-3.65, 2 Er 3.48-3.64
Pr: 0.7540 0.1258 0.5539  7 Pr 3.53-3.88, 1 Ho 3.60, 2 Ca 3.82-3.96
Pr: 0.8742 0.2460 0.9461  7 Pr 3.53-3.88, 1 Ho 3.60, 2 Ca 3.82-3.96
Pr: 0.9876 0.4447 0.3169  3 Pr 3.32-3.63, 2 Ho 3.52-3.64, 1 Er 3.53
Ho: 0.2006 0.3063 0.5465  6 Pr 3.31-3.64, 2 Ca 3.50-3.56, 1 Er 3.64
Ho: 0.3063 0.2006 0.0465  6 Pr 3.31-3.64, 2 Ca 3.50-3.56, 1 Er 3.64
Ho: 0.6937 0.7994 0.9535  6 Pr 3.31-3.64, 2 Ca 3.50-3.56, 1 Er 3.64
Ho: 0.7994 0.6937 0.4535  6 Pr 3.31-3.64, 2 Ca 3.50-3.56, 1 Er 3.64
Er: 0.4094 0.5906 0.2500  6 Pr 3.48-3.64, 2 Ho 3.64
Er: 0.5906 0.4094 0.7500  6 Pr 3.48-3.64, 2 Ho 3.64

* total magnetization: 0.00 μB/cell
* formation enthalpy at 0 K: 0.121 eV/atom
* volume: 708 Å³ per cell
* SG: C2/c, No. 15
* raw total energy: -86.4 eV/cell

# 3
Below is a relaxed structure of CaHo2ErRh4, with properties calculated at the PBE-GGA level.

Unit cell a=8.3458 b=8.3458 c=8.3458 alpha=33.49 beta=33.49 gamma=33.49
With the nearest neighbours (Å) after each atom.
Atoms (fractional coordinates):
Ca: 0.0000 0.0000 0.0000  8 Rh 2.97-3.02
Ho: 0.2517 0.2517 0.2517  8 Rh 2.91-2.99
Ho: 0.7483 0.7483 0.7483  8 Rh 2.91-2.99
Er: 0.5000 0.5000 0.5000  8 Rh 2.87-2.92
Rh: 0.1278 0.1278 0.1278  3 Er 2.92, 4 Ho 2.92-2.98, 1 Ca 3.02
Rh: 0.3784 0.3784 0.3784  1 Er 2.87, 4 Ho 2.91-2.99, 3 Ca 2.97
Rh: 0.6216 0.6216 0.6216  1 Er 2.87, 4 Ho 2.91-2.99, 3 Ca 2.97
Rh: 0.8722 0.8722 0.8722  3 Er 2.92, 4 Ho 2.92-2.98, 1 Ca 3.02

* total magnetization: 0.00 μB/cell
* formation enthalpy at 0 K: -0.796 eV/atom
* volume: 158 Å³ per cell
* SG: R-3m, No. 166
* raw total energy: -51.5 eV/cell

# 4
Below is a relaxed structure of Ca3Ho3ErS8, with properties calculated at the PBE-GGA level.

Unit cell a=7.9516 b=7.9516 c=7.9516 alpha=59.08 beta=59.08 gamma=59.08
With the nearest neighbours (Å) after each atom.
Atoms (fractional coordinates):
Ca: 0.0000 0.5000 0.5000  6 S 2.82-2.84
Ca: 0.5000 0.0000 0.5000  6 S 2.82-2.84
Ca: 0.5000 0.5000 0.0000  6 S 2.82-2.84
Ho: 0.0000 0.0000 0.5000  6 S 2.75-2.76
Ho: 0.0000 0.5000 0.0000  6 S 2.75-2.76
Ho: 0.5000 0.0000 0.0000  6 S 2.75-2.76
Er: 0.5000 0.5000 0.5000  6 S 2.73
S: 0.2475 0.2475 0.2475  3 Ho 2.76, 3 Ca 2.82
S: 0.2481 0.7443 0.7443  1 Er 2.73, 2 Ho 2.75, 2 Ca 2.84
S: 0.2557 0.2557 0.7519  1 Er 2.73, 2 Ho 2.75, 2 Ca 2.84
S: 0.2557 0.7519 0.2557  1 Er 2.73, 2 Ho 2.75, 2 Ca 2.84
S: 0.7443 0.2481 0.7443  1 Er 2.73, 2 Ho 2.75, 2 Ca 2.84
S: 0.7443 0.7443 0.2481  1 Er 2.73, 2 Ho 2.75, 2 Ca 2.84
S: 0.7519 0.2557 0.2557  1 Er 2.73, 2 Ho 2.75, 2 Ca 2.84
S: 0.7525 0.7525 0.7525  3 Ho 2.76, 3 Ca 2.82

* total magnetization: 0.00 μB/cell
* volume: 348 Å³ per cell
* SG: R-3m, No. 166
* raw total energy: -88.7 eV/cell
* raw formation energy: -2091 meV per atom

# 5
Below is a relaxed structure of CaHoEr2S4, with properties calculated at the PBE-GGA level.

Unit cell a=6.7592 b=3.8867 c=6.7627 alpha=90.00 beta=109.18 gamma=90.00
With the nearest neighbours (Å) after each atom.
Atoms (fractional coordinates):
Ca: 0.0000 0.0000 0.0000  6 S 2.77-2.78
Ho: 0.0000 0.5000 0.5000  6 S 2.76-2.77
Er: 0.5000 0.0000 0.5000  6 S 2.73-2.74
Er: 0.5000 0.5000 0.0000  6 S 2.75
S: 0.2528 0.0000 0.7498  3 Er 2.74-2.75, 2 Ho 2.77, 1 Ca 2.77
S: 0.2551 0.5000 0.2537  3 Er 2.73-2.75, 1 Ho 2.76, 2 Ca 2.78
S: 0.7449 0.5000 0.7463  3 Er 2.73-2.75, 1 Ho 2.76, 2 Ca 2.78
S: 0.7472 0.0000 0.2502  3 Er 2.74-2.75, 2 Ho 2.77, 1 Ca 2.77

* total magnetization: 0.00 μB/cell
* volume: 168 Å³ per cell
* SG: P2/m, No. 10
* raw total energy: -48.2 eV/cell
* raw formation energy: -1997 meV per atom

# 6
Below is a relaxed structure of Ca3HoEr3S8, with properties calculated at the PBE-GGA level.

Unit cell a=7.9398 b=7.9398 c=7.9398 alpha=59.03 beta=59.03 gamma=59.03
With the nearest neighbours (Å) after each atom.
Atoms (fractional coordinates):
Ca: 0.0000 0.5000 0.5000  6 S 2.82-2.84
Ca: 0.5000 0.0000 0.5000  6 S 2.82-2.84
Ca: 0.5000 0.5000 0.0000  6 S 2.82-2.84
Ho: 0.5000 0.5000 0.5000  6 S 2.74
Er: 0.0000 0.0000 0.5000  6 S 2.74-2.75
Er: 0.0000 0.5000 0.0000  6 S 2.74-2.75
Er: 0.5000 0.0000 0.0000  6 S 2.74-2.75
S: 0.2458 0.7455 0.7455  1 Ho 2.74, 2 Er 2.74, 2 Ca 2.84
S: 0.2470 0.2470 0.2470  3 Er 2.75, 3 Ca 2.82
S: 0.2545 0.2545 0.7542  1 Ho 2.74, 2 Er 2.74, 2 Ca 2.84
S: 0.2545 0.7542 0.2545  1 Ho 2.74, 2 Er 2.74, 2 Ca 2.84
S: 0.7455 0.2458 0.7455  1 Ho 2.74, 2 Er 2.74, 2 Ca 2.84
S: 0.7455 0.7455 0.2458  1 Ho 2.74, 2 Er 2.74, 2 Ca 2.84
S: 0.7530 0.7530 0.7530  3 Er 2.75, 3 Ca 2.82
S: 0.7542 0.2545 0.2545  1 Ho 2.74, 2 Er 2.74, 2 Ca 2.84

* total magnetization: 0.00 μB/cell
* volume: 346 Å³ per cell
* SG: R-3m, No. 166
* raw total energy: -88.6 eV/cell
* raw formation energy: -2086 meV per atom